NdYPd: optimized geometry, PBE-GGA.

Calculated values
V = 89.38 Å³/f.u.
formation enthalpy at 0 K = -42.9 kJ/mol of atoms
energy above the lowest structure with this stoichiometry = 110 meV per atom
total magnetic moment = 0.00 μB/f.u.

Cell lengths 7.188, 6.014, 10.778 Å; angles 90.00, 129.88, 90.00 degrees
Space group P2_1/c (No. 14)
Asymmetric unit:
Nd: 0.199 0.141 0.381
Y: 0.319 0.636 0.630
Pd: 0.325 0.638 0.363